# 1
Compound: HfZnSe2Br
Source: Alexandria via LeMat-Bulk
Functional: GGA-PBEsol
Structure: relaxed

Summary:
energy above the lowest structure with this stoichiometry = 1381.5 meV/atom
raw formation energy = 0.945 eV per atom

extended XYZ file:
```
5
Lattice="5.2802 0.0000 0.0000 0.0000 5.2802 0.0000 0.0000 0.0000 4.8074" Properties=species:S:1:pos:R:3 pbc="T T T"
Hf 0.0000 0.0000 0.0000
Zn 2.6401 2.6401 0.0000
Se 0.0000 2.6401 2.4037
Se 2.6401 0.0000 2.4037
Br 0.0000 0.0000 2.4037
```

# 2
Compound: Ba2YV2F11
Source: Alexandria via LeMat-Bulk
Functional: GGA-PBEsol
Structure: relaxed

Summary:
raw formation energy = -3.343 eV per atom

extended XYZ file:
```
48
Lattice="7.7426 0.0000 0.0000 -3.8713 6.7053 0.0000 0.0000 0.0000 13.4374" Properties=species:S:1:pos:R:3 pbc="T T T"
Ba -0.4149 0.8273 0.0000
Ba -2.9474 6.6510 4.4791
Ba 3.0644 1.4958 10.5879
Ba 3.6345 3.3035 1.6296
Ba 4.9150 1.9059 6.1088
Ba 3.3623 5.9323 8.9583
Y -0.4208 3.7803 2.9502
Y -0.3870 5.1796 7.4293
Y 0.8079 4.4507 11.9085
V -1.2133 2.8952 9.8692
V 1.4530 1.8773 7.5866
V -0.7573 6.3085 0.9110
V 1.9707 4.2069 5.3901
V 5.3904 0.3197 3.1075
V 4.7706 4.5084 12.0658
F -2.4087 4.3022 3.4860
F -0.8281 1.7202 3.6792
F -1.3930 2.8184 1.3467
F -0.2183 0.9789 6.8061
F -1.4838 3.3344 7.8693
F -2.5246 5.3194 0.4657
F -2.9144 6.4049 11.2852
F -1.1420 3.3995 11.9135
F 0.5269 1.8593 9.4240
F -1.9675 6.5624 8.1583
F -0.1370 3.9877 5.2846
F -0.3494 4.8301 9.7637
F 1.8717 1.1228 1.4795
F 1.3498 2.4682 12.4442
F -0.7340 6.5025 5.8258
F -0.3563 5.9945 2.9552
F 0.4864 4.5928 0.8055
F 2.0804 2.2028 5.6691
F -0.2417 6.3231 12.3484
F 1.4983 4.0166 7.4344
F 1.7255 3.7530 3.3902
F 2.1270 4.0897 10.3050
F 3.3327 2.2988 8.1446
F 1.0589 6.6402 7.9651
F 4.0854 1.7368 3.6654
F 4.7947 0.7003 1.1899
F 1.9977 6.2319 4.9449
F 4.1958 2.6696 12.6237
F 2.7957 5.1280 12.6374
F 5.8344 1.0595 10.4378
F 3.9079 4.5230 5.9586
F 3.1327 6.0268 2.3270
F 4.7388 3.8022 10.1482
```

# 3
Compound: RbTl2Hg
Source: Alexandria via LeMat-Bulk
Functional: GGA-PBEsol
Structure: relaxed

Summary:
calculated formation energy = 0.03 kcal/mol of atoms

extended XYZ file:
```
4
Lattice="0.0000 3.9050 3.9050 3.9050 0.0000 3.9050 3.9050 3.9050 0.0000" Properties=species:S:1:pos:R:3 pbc="T T T"
Rb 0.0000 0.0000 0.0000
Tl 1.9525 1.9525 1.9525
Tl 5.8575 5.8575 5.8575
Hg 3.9050 3.9050 3.9050
```

# 4
Compound: Hg3TeBr4
Source: Alexandria via LeMat-Bulk
Functional: GGA-PBEsol
Structure: relaxed

Summary:
raw formation energy = -0.382 eV per atom

extended XYZ file:
```
64
Lattice="12.2128 0.0000 0.0000 0.0000 12.4547 0.0000 0.0000 0.0000 12.9591" Properties=species:S:1:pos:R:3 pbc="T T T"
Hg 1.1083 1.1782 2.4469
Hg 1.1083 5.0491 8.9264
Hg 2.2303 8.5252 9.9143
Hg 2.2303 10.1569 3.4348
Hg 2.8733 1.0106 6.2511
Hg 2.8733 5.2167 12.7306
Hg 3.2331 7.2380 6.2511
Hg 3.2331 11.4441 12.7306
Hg 3.8761 2.2978 9.9143
Hg 3.8761 3.9295 3.4348
Hg 4.9981 7.4056 2.4469
Hg 4.9981 11.2765 8.9264
Hg 7.2148 1.1782 4.0327
Hg 7.2148 5.0491 10.5122
Hg 8.3367 8.5252 9.5243
Hg 8.3367 10.1569 3.0448
Hg 8.9798 1.0106 0.2285
Hg 8.9798 5.2167 6.7080
Hg 9.3395 7.2380 0.2285
Hg 9.3395 11.4441 6.7080
Hg 9.9826 2.2978 9.5243
Hg 9.9826 3.9295 3.0448
Hg 11.1045 7.4056 4.0327
Hg 11.1045 11.2765 10.5122
Te 1.0204 7.4612 7.7572
Te 1.0204 11.2209 1.2776
Te 5.0860 1.2338 7.7572
Te 5.0860 4.9935 1.2776
Te 7.1268 7.4612 11.6815
Te 7.1268 11.2209 5.2019
Te 11.1925 1.2338 11.6815
Te 11.1925 4.9935 5.2019
Br 0.5688 1.1497 5.2040
Br 0.5688 5.0777 11.6836
Br 1.1020 2.4836 8.7690
Br 1.1020 3.7437 2.2895
Br 2.0923 7.3869 3.4971
Br 2.0923 11.2952 9.9767
Br 2.9272 8.2251 12.3609
Br 2.9272 10.4570 5.8813
Br 3.1792 1.9977 12.3609
Br 3.1792 4.2296 5.8813
Br 4.0141 1.1595 3.4971
Br 4.0141 5.0678 9.9767
Br 5.0044 8.7110 8.7690
Br 5.0044 9.9711 2.2895
Br 5.5376 7.3770 5.2040
Br 5.5376 11.3050 11.6836
Br 6.6752 1.1497 1.2755
Br 6.6752 5.0777 7.7551
Br 7.2084 2.4836 10.6696
Br 7.2084 3.7437 4.1901
Br 8.1987 7.3869 2.9824
Br 8.1987 11.2952 9.4620
Br 9.0336 8.2251 7.0778
Br 9.0336 10.4570 0.5982
Br 9.2856 1.9977 7.0778
Br 9.2856 4.2296 0.5982
Br 10.1206 1.1595 2.9824
Br 10.1206 5.0678 9.4620
Br 11.1109 8.7110 10.6696
Br 11.1109 9.9711 4.1901
Br 11.6441 7.3770 1.2755
Br 11.6441 11.3050 7.7551
```

# 5
Compound: BeCdRe
Source: Alexandria via LeMat-Bulk
Functional: GGA-PBEsol
Structure: relaxed

Summary:
energy above the lowest structure with this stoichiometry = 0.0 meV/atom
calculated formation energy = 9.85 kcal/mol of atoms

extended XYZ file:
```
3
Lattice="0.0000 2.1794 6.3541 1.5538 0.0000 6.3541 1.5538 2.1794 0.0000" Properties=species:S:1:pos:R:3 pbc="T T T"
Be 0.0000 0.0000 0.0000
Cd 1.5538 2.1794 4.2095
Re 1.5538 2.1794 8.0970
```

# 6
Compound: LaHfCu2
Source: Alexandria via LeMat-Bulk
Functional: GGA-PBEsol
Structure: relaxed

Summary:
calculated formation energy = 2.15 kcal/mol of atoms

extended XYZ file:
```
4
Lattice="0.0000 3.3883 3.3883 3.3883 0.0000 3.3883 3.3883 3.3883 0.0000" Properties=species:S:1:pos:R:3 pbc="T T T"
La 0.0000 0.0000 0.0000
Hf 3.3883 3.3883 3.3883
Cu 1.6941 1.6941 1.6941
Cu 5.0824 5.0824 5.0824
```

# 7
Compound: CaY3
Source: Alexandria via LeMat-Bulk
Functional: GGA-PBEsol
Structure: relaxed

Summary:
calculated formation energy = 2.13 kcal/mol of atoms

extended XYZ file:
```
4
Lattice="3.5941 0.0000 0.0000 0.0000 5.7071 0.0000 0.0000 0.0000 6.3206" Properties=species:S:1:pos:R:3 pbc="T T T"
Ca 0.0000 0.0000 0.0000
Y 0.0000 2.8535 2.1311
Y 1.7970 0.0000 3.1501
Y 1.7970 2.8535 5.1825
```

# 8
Compound: PtAu2
Source: Alexandria via LeMat-Bulk
Functional: GGA-PBEsol
Structure: relaxed

Summary:
energy above the lowest structure with this stoichiometry = 14.5 meV/atom
calculated formation energy = 1.17 kcal/mol of atoms

extended XYZ file:
```
6
Lattice="5.3456 -1.4117 0.0000 5.3456 1.4117 0.0000 -2.0362 0.0000 6.4773" Properties=species:S:1:pos:R:3 pbc="T T T"
Pt 1.8233 0.0000 0.8183
Pt 6.8318 0.0000 5.6590
Au 0.4413 0.0000 3.4797
Au 4.7232 0.0000 1.2879
Au 3.9319 0.0000 5.1894
Au 8.2137 0.0000 2.9976
```

# 9
Compound: Y2ZrAl
Source: Alexandria via LeMat-Bulk
Functional: GGA-PBEsol
Structure: relaxed

Summary:
calculated formation energy = -3.32 kcal/mol of atoms

extended XYZ file:
```
4
Lattice="3.3862 0.0000 0.0000 0.0000 3.3862 0.0000 0.0000 0.0000 8.5586" Properties=species:S:1:pos:R:3 pbc="T T T"
Y 0.0000 0.0000 1.9785
Y 0.0000 0.0000 6.5801
Zr 1.6931 1.6931 4.2793
Al 1.6931 1.6931 0.0000
```

# 10
Compound: BaHgPb2
Source: Alexandria via LeMat-Bulk
Functional: GGA-PBEsol
Structure: relaxed

Summary:
energy above the lowest structure with this stoichiometry = 40.7 meV/atom
calculated formation energy = -7.90 kcal/mol of atoms

extended XYZ file:
```
4
Lattice="4.0337 0.0000 0.0000 0.0000 4.0337 0.0000 0.0000 0.0000 7.6635" Properties=species:S:1:pos:R:3 pbc="T T T"
Ba 0.0000 0.0000 0.0000
Hg 2.0168 2.0168 2.0402
Pb 0.0000 0.0000 3.7007
Pb 2.0168 2.0168 5.2899
```

# 11
Compound: LiCaNbRu2
Source: Alexandria via LeMat-Bulk
Functional: GGA-PBEsol
Structure: relaxed

Summary:
calculated formation energy = 21.42 kcal/mol of atoms

extended XYZ file:
```
5
Lattice="4.4652 0.0000 0.0000 0.0000 4.4652 0.0000 0.0000 0.0000 3.8570" Properties=species:S:1:pos:R:3 pbc="T T T"
Li 0.0000 0.0000 0.0000
Ca 0.0000 0.0000 1.9285
Nb 2.2326 2.2326 1.9285
Ru 0.0000 2.2326 0.0000
Ru 2.2326 0.0000 0.0000
```

# 12
Compound: Fe2HgPCl
Source: Alexandria via LeMat-Bulk
Functional: GGA-PBEsol
Structure: relaxed

Summary:
raw formation energy = 0.477 eV per atom

extended XYZ file:
```
5
Lattice="4.4012 0.0000 0.0000 0.0000 4.4012 0.0000 0.0000 0.0000 5.0726" Properties=species:S:1:pos:R:3 pbc="T T T"
Fe 0.0000 2.2006 0.0000
Fe 2.2006 0.0000 0.0000
Hg 0.0000 0.0000 2.5363
P 0.0000 0.0000 0.0000
Cl 2.2006 2.2006 2.5363
```

Number 1: V 26.8 Å³ per atom, total DFT energy (no corrections) -16.93 eV/f.u., density 6.0 g/cm³. Number 2: V 14.5 Å³ per atom, total DFT energy (no corrections) -105.08 eV/f.u., density 4.8 g/cm³. Number 3: V 29.8 Å³ per atom, total DFT energy (no corrections) -6.85 eV/f.u., density 9.7 g/cm³. Number 4: V 30.8 Å³ per atom, total DFT energy (no corrections) -15.76 eV/f.u., density 7.1 g/cm³. Number 5: V 14.3 Å³ per atom, total DFT energy (no corrections) -17.25 eV/f.u., density 11.9 g/cm³. Number 6: V 19.4 Å³ per atom, total DFT energy (no corrections) -24.14 eV/f.u., density 9.5 g/cm³. Number 7: V 32.4 Å³ per atom, total DFT energy (no corrections) -22.23 eV/f.u., density 3.9 g/cm³. Number 8: V 16.3 Å³ per atom, total DFT energy (no corrections) -14.66 eV/f.u., density 20.0 g/cm³. Number 9: V 24.5 Å³ per atom, total DFT energy (no corrections) -27.40 eV/f.u., density 5.0 g/cm³. Number 10: V 31.2 Å³ per atom, total DFT energy (no corrections) -12.08 eV/f.u., density 10.0 g/cm³. Number 11: V 15.4 Å³ per atom, total DFT energy (no corrections) -30.62 eV/f.u., density 7.4 g/cm³. Number 12: V 19.7 Å³ per atom, total DFT energy (no corrections) -23.91 eV/f.u., density 6.4 g/cm³.